# 1
VPd4Au2 after structural relaxation, computed with PBE.

Cell: 4.425 4.425 7.643 Å, 73.17 73.17 60.00°
Last column: magnetic moment on the atom in μB.
Positions (direct):
V1 0.000 0.000 0.000  1.15
Pd1 0.875 0.875 0.375  -0.02
Pd2 0.125 0.125 0.625  -0.02
Pd3 0.625 0.625 0.126  -0.03
Pd4 0.375 0.375 0.874  -0.03
Au1 0.750 0.750 0.749  -0.03
Au2 0.250 0.250 0.251  -0.03

Results
- Calculated formation energy: 49.9 kJ/mol of formula units
- Energy relative to the lowest polymorph listed for this composition: 77 meV per atom
- Volume: 17.451 Å³/atom

***

# 2
TmTi2N after structural relaxation, computed with PBE.

Cell: 3.093 3.093 8.372 Å, 79.36 79.36 60.00°
Positions (direct):
N1 0.500 0.500 0.500
Tm1 0.000 0.000 0.000
Ti1 0.123 0.123 0.632
Ti2 0.877 0.877 0.368

Results
- Uncorrected formation energy: -0.686 eV/atom
- Volume: 16.942 Å³/atom

***

The lowest volume belongs to which entry? TmTi2N

***

The highest volume belongs to which entry? VPd4Au2

***

volume of number 2 (TmTi2N)? 16.942 Å³/atom

***

What is the volume in the second record? 16.942 Å³/atom